Pr3CdPd4 (PBE, optimized geometry); energy relative to the elements = -59.26 kJ per mole of atoms; total magnetization = 0.00 μB/cell; N(E_F) = 0.52 states/eV/atom; SG = Immm, No. 71
1.0
3.963 0.000 0.000
0.000 6.635 -0.751
-1.981 -2.461 7.924
Pr Cd Pd
3 1 4
Cartesian
0.000 3.317 -0.376 Pr
0.000 0.328 2.896 Pr
1.981 3.845 4.277 Pr
1.981 0.000 0.000 Cd
0.000 1.983 5.483 Pd
1.981 2.191 1.690 Pd
1.981 4.878 1.386 Pd
0.000 -0.704 5.787 Pd